First-principles (PBE-GGA) data for an optimized crystal structure of HgOsS2, as listed in Alexandria.

## Properties
E ... -4.816 eV/atom
D(E_F) ... 0.937 states/eV/atom
ΔE_f (raw) ... 0.1309 eV per atom
Magnetic moment ... 0.000 μB/f.u.

a b c (Å): 6.7177 6.7177 6.5011
angles (deg): 58.89 58.89 90.00
Fractional positions:
1 S 0.5142 0.1250 0.2500
2 S 0.2358 0.6250 0.2500
3 S 0.3750 0.4858 0.7500
4 S 0.8750 0.7642 0.7500
5 Os 0.5000 0.5000 0.0000
6 Os 0.2500 0.7500 0.5000
7 Hg 0.0000 0.0000 0.0000
8 Hg 0.7500 0.2500 0.5000